[1]
The following is a PBE calculation of crystalline TeMoWS3 at its relaxed geometry, from the Alexandria database.

Unit cell a=3.2759 b=3.2759 c=37.2403 alpha=90.00 beta=90.00 gamma=120.00
Last column: nearest neighbours and their distance in Å.
Fractional coordinates of all 12 atoms:
Mo  0.3333  0.6667  0.0824  6 S 2.44
Mo  0.3333  0.6667  0.4766  6 S 2.44
S  0.6667  0.3333  0.0411  3 Mo 2.44
S  0.3333  0.6667  0.6226  3 W 2.44
S  0.6667  0.3333  0.1236  3 Mo 2.44
S  0.6667  0.3333  0.4354  3 Mo 2.44
S  0.6667  0.3333  0.5179  3 Mo 2.44
S  0.3333  0.6667  0.7054  3 W 2.44
Te  0.3333  0.6667  0.3321  3 W 2.71
Te  0.3333  0.6667  0.2278  3 W 2.71
W  0.6667  0.3333  0.6640  6 S 2.44
W  0.6667  0.3333  0.2799  6 Te 2.71

Values from the calculation:
raw formation energy	-58.2	kJ per mole of atoms
offset from the most stable computed form	39	meV per atom
magnetization	0.0	μB per cell
SG	P3m1

[2]
The following is a PBE calculation of crystalline La4Sm3Zn at its relaxed geometry, from the Alexandria database.

Unit cell a=3.7439 b=3.7439 c=19.0979 alpha=90.00 beta=90.00 gamma=90.00
Last column: nearest neighbours and their distance in Å.
Fractional coordinates of all 8 atoms:
Sm  0.5000  0.5000  0.7650  8 La 3.65-3.73, 4 Sm 3.74
Sm  0.5000  0.5000  0.5000  8 La 3.68, 4 Sm 3.74
Sm  0.5000  0.5000  0.2350  8 La 3.65-3.73, 4 Sm 3.74
La  0.0000  0.0000  0.3664  8 Sm 3.65-3.68, 4 La 3.74
La  0.0000  0.0000  0.6336  8 Sm 3.65-3.68, 4 La 3.74
La  0.0000  0.0000  0.0972  4 Zn 3.23
La  0.0000  0.0000  0.9028  4 Zn 3.23
Zn  0.5000  0.5000  0.0000  8 La 3.23

Values from the calculation:
magnetization	0.0	μB per cell
SG	P4/mmm

Number 1: E -7.154 eV per atom. Number 2: E -4.454 eV per atom.